Here is a relaxed structure of Tb6HoIn2 from Alexandria. Energies are from PBE.

a b c (Å): 11.006 4.767 10.474
angles (deg): 90.00 108.83 90.00
Space group C2/m (No. 12)
Asymmetric unit:
Tb: 0.007 0.000 0.174 [4 per cell]
Tb: 0.171 0.500 0.054 [4 per cell]
Tb: 0.171 0.500 0.390 [4 per cell]
Ho: 0.000 0.000 0.500 [2 per cell]
In: 0.160 0.500 0.716 [4 per cell]

Results
E_form: -0.20 eV per atom
total magnetic moment: 0.0 μB per formula unit
relative energy among the computed polymorphs: 0.000 eV per atom
final energy: -79.3 eV per cell

Here is a relaxed structure of Tb7Ho3In2 from Alexandria. Energies are from PBE.

a b c (Å): 5.581 3.594 18.449
angles (deg): 90.00 93.95 90.00
Space group P2/m (No. 10)
Asymmetric unit:
Tb: 0.000 0.000 0.000 [1 per cell]
Tb: 0.167 0.500 0.174 [2 per cell]
Tb: 0.259 0.500 0.540 [2 per cell]
Tb: 0.336 0.000 0.852 [2 per cell]
Ho: 0.220 0.000 0.366 [2 per cell]
Ho: 0.500 0.500 0.000 [1 per cell]
In: 0.301 0.500 0.707 [2 per cell]

Results
E_form: -0.05 eV per atom
total magnetic moment: 0.0 μB per formula unit
final energy: -52.2 eV per cell